The following is a DFT calculation (PBE) of crystalline BaNiSb2 at its relaxed geometry.

The space group is R-3m (No. 166, hexagonal axes) and the conventional cell measures 4.2847, 4.2847 and 20.6219 Å, with angles of 90.00, 90.00 and 120.00 degrees. The inequivalent atoms are Ba at (0.0000, 0.0000, 0.0000), Ni at (0.0000, 0.0000, 0.5000) and Sb at (0.0000, 0.0000, 0.2170).

As for the formation energy from raw total energies: -0.46 eV/atom.

***

The following is a DFT calculation (PBE) of crystalline ZrPt at its relaxed geometry.

The space group is C2/m (No. 12) and the conventional cell measures 9.9267, 4.0025 and 6.0911 Å, with angles of 90.00, 110.65 and 90.00 degrees. The inequivalent atoms are Zr at (0.0000, 0.0000, 0.0000), Zr at (0.1607, 0.5000, 0.7872), Pt at (0.0000, 0.0000, 0.5000) and Pt at (0.1642, 0.5000, 0.3120).

The calculation puts the energy relative to the elements at -820 meV/atom.

***

The following is a DFT calculation (PBE) of crystalline Ba3Mg8Cd3 at its relaxed geometry.

The space group is Immm (No. 71) and the conventional cell measures 5.1592, 11.0493 and 15.0174 Å, with angles of 90.00, 90.00 and 90.00 degrees. The inequivalent atoms are Ba at (0.0000, 0.0000, 0.0000), Ba at (0.0000, 0.0000, 0.3150), Mg at (0.0000, 0.2873, 0.1140), Mg at (0.0000, 0.3488, 0.3205), Cd at (0.0000, 0.2304, 0.5000) and Cd at (0.0000, 0.5000, 0.0000).

The calculation puts the energy relative to the elements at -110 meV/atom.

***

The following is a DFT calculation (PBE) of crystalline Ba2ZrGaW at its relaxed geometry.

The space group is P4/mmm (No. 123) and the conventional cell measures 5.8939, 5.8939 and 5.0276 Å, with angles of 90.00, 90.00 and 90.00 degrees. The inequivalent atoms are Ba at (0.0000, 0.5000, 0.0000), Zr at (0.0000, 0.0000, 0.5000), Ga at (0.5000, 0.5000, 0.5000) and W at (0.5000, 0.5000, 0.0000).

The calculation puts the energy relative to the elements at 1327 meV/atom.

***

The following is a DFT calculation (PBE) of crystalline KNClF2 at its relaxed geometry.

The space group is P4/mmm (No. 123) and the conventional cell measures 5.0344, 5.0344 and 5.6808 Å, with angles of 90.00, 90.00 and 90.00 degrees. The inequivalent atoms are K at (0.0000, 0.0000, 0.0000), N at (0.0000, 0.0000, 0.5000), Cl at (0.5000, 0.5000, 0.5000) and F at (0.0000, 0.5000, 0.0000).

As for the formation energy from raw total energies: 0.38 eV/atom.

***

The following is a DFT calculation (PBE) of crystalline TaTi3Ni12 at its relaxed geometry.

The space group is P4/mmm (No. 123) and the conventional cell measures 3.6322, 3.6322 and 14.4910 Å, with angles of 90.00, 90.00 and 90.00 degrees. The inequivalent atoms are Ta at (0.0000, 0.0000, 0.0000), Ti at (0.0000, 0.0000, 0.2540), Ti at (0.0000, 0.0000, 0.5000), Ni at (0.0000, 0.5000, 0.1274), Ni at (0.0000, 0.5000, 0.3760), Ni at (0.5000, 0.5000, 0.0000), Ni at (0.5000, 0.5000, 0.2513) and Ni at (0.5000, 0.5000, 0.5000).

The calculation puts the energy relative to the elements at -397 meV/atom.

***

The following is a DFT calculation (PBE) of crystalline La3Pr2Tl at its relaxed geometry.

The space group is Cmmm (No. 65) and the conventional cell measures 5.9380, 11.2355 and 6.0465 Å, with angles of 90.00, 90.00 and 90.00 degrees. The inequivalent atoms are La at (0.0000, 0.0000, 0.0000), La at (0.0000, 0.3443, 0.0000), Pr at (0.0000, 0.1547, 0.5000) and Tl at (0.0000, 0.5000, 0.5000).

The calculation puts the energy relative to the elements at -72 meV/atom.

***

The following is a DFT calculation (PBE) of crystalline Ac2Al2Ge2P at its relaxed geometry.

The space group is P-1 (No. 2) and the conventional cell measures 4.2646, 6.7076 and 7.1361 Å, with angles of 67.16, 72.78 and 71.87 degrees. The inequivalent atoms are Ac at (0.0680, 0.1889, 0.1788), Al at (0.2875, 0.3354, 0.5881), Ge at (0.3253, 0.6376, 0.2099) and P at (0.5000, 0.0000, 0.5000).

The calculation puts the energy relative to the elements at -648 meV/atom.

***

The following is a DFT calculation (PBE) of crystalline AgSn2Bi2 at its relaxed geometry.

The space group is I4/mmm (No. 139) and the conventional cell measures 4.1320, 4.1320 and 17.4699 Å, with angles of 90.00, 90.00 and 90.00 degrees. The inequivalent atoms are Ag at (0.0000, 0.0000, 0.0000), Sn at (0.0000, 0.5000, 0.2500) and Bi at (0.0000, 0.0000, 0.4104).

The calculation puts the energy relative to the elements at 252 meV/atom.

***

The following is a DFT calculation (PBE) of crystalline Ho4Al3Ag at its relaxed geometry.

The space group is Pmm2 (No. 25) and the conventional cell measures 3.6527, 4.5584 and 11.5802 Å, with angles of 90.00, 90.00 and 90.00 degrees. The inequivalent atoms are Ho at (0.0000, 0.0000, 0.0000), Ho at (0.0000, 0.5000, 0.3049), Ho at (0.5000, 0.0000, 0.4972), Ho at (0.5000, 0.5000, 0.8102), Al at (0.0000, 0.0000, 0.7204), Al at (0.0000, 0.5000, 0.5846), Al at (0.5000, 0.5000, 0.0814) and Ag at (0.5000, 0.0000, 0.2226).

The calculation puts the energy relative to the elements at -348 meV/atom.

***

The following is a DFT calculation (PBE) of crystalline OsRhAu2 at its relaxed geometry.

The space group is P4/mmm (No. 123) and the conventional cell measures 2.8352, 2.8352 and 7.9267 Å, with angles of 90.00, 90.00 and 90.00 degrees. The inequivalent atoms are Os at (0.0000, 0.0000, 0.0000), Rh at (0.0000, 0.0000, 0.5000) and Au at (0.5000, 0.5000, 0.2494).

The calculation puts the energy relative to the elements at 540 meV/atom.

***

The following is a DFT calculation (PBE) of crystalline LaDyAlPb at its relaxed geometry.

The space group is F-43m (No. 216) and the conventional cell measures 7.6724, 7.6724 and 7.6724 Å, with angles of 90.00, 90.00 and 90.00 degrees. The inequivalent atoms are La at (0.0000, 0.0000, 0.0000), Dy at (0.0000, 0.0000, 0.5000), Al at (0.2500, 0.2500, 0.7500) and Pb at (0.2500, 0.2500, 0.2500).

The calculation puts the energy relative to the elements at -366 meV/atom.